This record from Alexandria via LeMat-Bulk describes Mg6NbB after structural relaxation. The functional is PBE-GGA.

Cell and atoms, written as POSCAR:
```
Mg6NbB
1.0
3.545 0.000 0.000
0.000 8.958 0.000
0.000 0.000 10.192
Mg Nb B
12 2 2
direct
0.000 0.000 0.000
0.000 0.173 0.720
0.000 0.327 0.220
0.000 0.500 0.500
0.000 0.673 0.220
0.000 0.827 0.720
0.500 0.000 0.235
0.500 0.249 0.472
0.500 0.251 0.972
0.500 0.500 0.735
0.500 0.749 0.972
0.500 0.751 0.472
0.000 0.000 0.471
0.000 0.500 0.971
0.500 0.000 0.602
0.500 0.500 0.102
```

Output
Final energy in eV per atom: -3.092
Energy of formation from the pure elements in eV/f.u.: 1.6
SG: Amm2 (38)

***

This record from Alexandria via LeMat-Bulk describes AcPrDyAl after structural relaxation. The functional is PBE-GGA.

Cell and atoms, written as POSCAR:
```
AcPrDyAl
1.0
7.902 0.000 0.000
0.000 7.902 0.000
0.000 0.000 7.902
Ac Pr Dy Al
4 4 4 4
direct
0.000 0.000 0.000
0.000 0.500 0.500
0.500 0.000 0.500
0.500 0.500 0.000
0.250 0.250 0.750
0.250 0.750 0.250
0.750 0.250 0.250
0.750 0.750 0.750
0.250 0.250 0.250
0.250 0.750 0.750
0.750 0.250 0.750
0.750 0.750 0.250
0.000 0.000 0.500
0.000 0.500 0.000
0.500 0.000 0.000
0.500 0.500 0.500
```

Output
Final energy in eV per atom: -4.247
Energy of formation from the pure elements in eV/f.u.: 0.2
SG: F-43m (216)

***

This record from Alexandria via LeMat-Bulk describes MoRuRh2W after structural relaxation. The functional is PBE-GGA.

Cell and atoms, written as POSCAR:
```
MoRuRh2W
1.0
4.678 0.000 0.000
0.000 4.678 0.000
0.000 0.000 4.625
Mo Ru Rh W
1 1 2 1
direct
0.000 0.000 0.000
0.500 0.500 0.000
0.000 0.500 0.500
0.500 0.000 0.500
0.500 0.500 0.500
```

Output
Final energy in eV per atom: -7.988
Energy of formation from the pure elements in eV/f.u.: 7.8
SG: P4/mmm (123)

***

This record from Alexandria via LeMat-Bulk describes Sc3Pt2 after structural relaxation. The functional is PBE-GGA.

Cell and atoms, written as POSCAR:
```
Sc3Pt2
1.0
4.583 0.000 0.000
-2.291 3.969 0.000
0.000 0.000 5.653
Sc Pt
3 2
direct
0.000 0.000 0.000
0.333 0.667 0.342
0.667 0.333 0.658
0.333 0.667 0.831
0.667 0.333 0.169
```

Output
Final energy in eV per atom: -7.288
Energy of formation from the pure elements in eV/f.u.: -5.4
SG: P-3m1 (164)